Entry 1:
BeCdH2F8 PBE relaxed; total magnetization = 2.0 Bohr magnetons per cell; symmetry = P-1; total energy = -3.9050 eV/atom
1.0
4.674 1.171 -0.004
1.115 4.335 -0.002
0.012 0.007 6.681
F H Be Cd
8 2 1 1
Cartesian
4.345 3.791 3.328
3.662 1.892 5.328
1.039 1.305 0.004
4.761 4.209 6.671
1.456 1.722 3.347
2.154 3.630 5.328
3.646 1.884 1.347
2.139 3.622 1.347
2.894 2.751 1.313
2.907 2.763 5.362
0.000 0.000 0.000
0.006 0.004 3.340


Entry 2:
K2BeCdF6 PBE relaxed; raw formation energy = -2637 meV/atom; total magnetization = 0.0 Bohr magnetons per cell; symmetry = P-3m1
1.0
-3.107 3.878 2.532
-3.267 0.535 -4.828
-1.484 -3.881 4.123
F K Be Cd
6 2 1 1
Cartesian
-4.249 -0.116 4.886
-1.746 0.343 -0.306
-6.112 0.189 2.134
-3.609 0.647 -3.058
-3.403 2.097 2.535
-4.455 -1.565 -0.708
-2.511 -1.869 1.492
-5.347 2.400 0.335
0.000 0.000 0.000
-1.554 1.939 1.266


Entry 3:
KBe2CdF8 PBE relaxed; raw formation energy = -2642 meV/atom; total magnetization = 1.1 Bohr magnetons per cell; symmetry = C2/m
1.0
4.924 -0.320 0.578
1.988 4.516 0.578
1.443 0.876 7.675
F Cd Be K
8 1 2 1
Cartesian
4.275 4.126 6.535
4.079 0.946 2.297
5.013 3.044 1.221
5.633 1.890 6.535
2.721 3.182 2.297
4.825 2.929 3.728
3.341 2.029 7.611
3.529 2.143 5.104
0.000 0.000 0.000
4.100 2.489 2.326
4.254 2.583 6.506
0.721 0.438 3.838


Entry 4:
BeCdNF2 PBE relaxed; raw formation energy = -1162 meV/atom; total magnetization = 0.3 Bohr magnetons per cell; symmetry = P4/mmm
1.0
-0.027 3.132 0.956
-2.506 0.595 -2.023
-3.295 -1.169 3.737
F Cd N Be
2 1 1 1
Cartesian
-0.014 1.566 0.478
-1.253 0.298 -1.011
-2.914 1.279 1.335
-1.647 -0.585 1.869
0.000 0.000 0.000


Entry 5:
BeCdN2F PBE relaxed; raw formation energy = 176 meV/atom; total magnetization = 0.8 Bohr magnetons per cell; symmetry = P4/mmm
1.0
3.446 0.000 0.000
0.000 3.446 0.000
0.000 0.000 4.272
N Be F Cd
2 1 1 1
Cartesian
0.000 1.723 0.000
1.723 0.000 0.000
0.000 0.000 0.000
0.000 0.000 2.136
1.723 1.723 2.136


Entry 6:
BeCdNF2 PBE relaxed; raw formation energy = 248 meV/atom; total magnetization = 0.9 Bohr magnetons per cell; symmetry = P4/mmm
1.0
4.280 0.000 0.000
0.000 4.280 0.000
0.000 0.000 4.449
F Be Cd N
2 1 1 1
Cartesian
2.140 0.000 0.000
0.000 2.140 0.000
2.140 2.140 2.224
0.000 0.000 0.000
0.000 0.000 2.224


What did the fourth record say?
BeCdNF2 PBE relaxed; raw formation energy = -1162 meV/atom; total magnetization = 0.3 Bohr magnetons per cell; symmetry = P4/mmm
1.0
-0.027 3.132 0.956
-2.506 0.595 -2.023
-3.295 -1.169 3.737
F Cd N Be
2 1 1 1
Cartesian
-0.014 1.566 0.478
-1.253 0.298 -1.011
-2.914 1.279 1.335
-1.647 -0.585 1.869
0.000 0.000 0.000


Please write out number 1 again, unchanged.
BeCdH2F8 PBE relaxed; total magnetization = 2.0 Bohr magnetons per cell; symmetry = P-1; total energy = -3.9050 eV/atom
1.0
4.674 1.171 -0.004
1.115 4.335 -0.002
0.012 0.007 6.681
F H Be Cd
8 2 1 1
Cartesian
4.345 3.791 3.328
3.662 1.892 5.328
1.039 1.305 0.004
4.761 4.209 6.671
1.456 1.722 3.347
2.154 3.630 5.328
3.646 1.884 1.347
2.139 3.622 1.347
2.894 2.751 1.313
2.907 2.763 5.362
0.000 0.000 0.000
0.006 0.004 3.340